# TcPbSe2 PBE-GGA optimized geometry
# - relative energy among the computed polymorphs (eV/atom) = 0.147
# - total energy (eV/atom) = -5.274
data_TcPbSe2
_symmetry_space_group_name_H-M 'P 1 2/m 1'
_symmetry_Int_Tables_number 10
_cell_length_a 5.142
_cell_length_b 3.629
_cell_length_c 5.535
_cell_angle_alpha 90.00
_cell_angle_beta 116.38
_cell_angle_gamma 90.00
loop_
_symmetry_equiv_pos_as_xyz
'x,y,z'
'-x,-y,-z'
'-x,y,-z'
'x,-y,z'
loop_
_atom_site_label
_atom_site_fract_x
_atom_site_fract_y
_atom_site_fract_z
Tc1 0.000 0.000 0.000
Pb1 0.000 0.000 0.500
Se1 0.378 0.500 0.162

# SrHfIn2 PBE-GGA optimized geometry
# - formation enthalpy at 0 K (eV per atom) = 0.00
# - relative energy among the computed polymorphs (eV/atom) = 0.186
# - total energy (eV/atom) = -4.280
data_SrHfIn2
_symmetry_space_group_name_H-M 'F m -3 m'
_symmetry_Int_Tables_number 225
_symmetry_space_group_name_Hall '-F 4 2 3'
_cell_length_a 7.518
_cell_length_b 7.518
_cell_length_c 7.518
_cell_angle_alpha 90.00
_cell_angle_beta 90.00
_cell_angle_gamma 90.00
loop_
_atom_site_label
_atom_site_fract_x
_atom_site_fract_y
_atom_site_fract_z
Sr1 0.000 0.000 0.000
Hf1 0.000 0.000 0.500
In1 0.250 0.250 0.250